NiNF2 | GGA+U | optimized geometry

Geometry as POSCAR:
```
NiNF2
1.0
-2.177 -3.091 6.214
-0.609 -1.233 7.143
-3.082 -0.674 6.554
N F Ni
1 2 1
direct
0.500 0.500 0.500
0.918 0.918 0.918
0.082 0.082 0.082
0.000 0.000 0.000
```

Output
DOS(E_F)	0.485	states/eV per atom
total magnetic moment	0.995	μB/cell
V	41.8	Å³/cell
excess energy over the best structure of this formula in the dataset	1.013	eV/atom